1.
First-principles (PBE) data for an optimized crystal structure of SiRuCl2, as listed in the Alexandria database.

a b c (Å): 3.476 6.751 7.969
angles (deg): 34.32 90.00 90.00
Element x y z (fractional)
Cl 0.000 0.993 0.008
Cl 0.500 0.136 0.468
Ru 0.000 0.582 0.513
Si 0.500 0.790 0.510

Results
space-group type: No. 6
formation energy (no corrections): -299 meV per atom
E above lowest polymorph: 0.000 eV per formula unit
size of the total moment: 0.000 Bohr magnetons per cell



2.
First-principles (PBE) data for an optimized crystal structure of LiTaRe2, as listed in the Alexandria database.

a b c (Å): 2.710 2.710 9.433
angles (deg): 90.00 90.00 111.88
Element x y z (fractional)
Li 0.500 0.500 0.764
Re 0.000 0.000 0.008
Re 0.500 0.500 0.240
Ta 0.000 0.000 0.488

Results
space-group type: No. 35
E above lowest polymorph: 0.622 eV per formula unit
calculated formation energy: 0.26 eV/atom
size of the total moment: 0.000 Bohr magnetons per cell



3.
First-principles (PBE) data for an optimized crystal structure of La2PmYEr, as listed in the Alexandria database.

a b c (Å): 6.913 11.111 7.315
angles (deg): 139.41 90.00 90.00
Element x y z (fractional)
La 0.500 0.249 0.000
La 0.000 0.751 0.000
La 0.500 0.751 0.000
La 0.000 0.249 0.000
Pm 0.250 0.600 0.200
Pm 0.750 0.400 0.800
Y 0.750 0.752 0.504
Y 0.250 0.248 0.496
Er 0.250 0.911 0.822
Er 0.750 0.089 0.178

Results
space-group type: No. 63
calculated formation energy: 0.33 eV/atom
size of the total moment: 0.000 Bohr magnetons per cell



4.
First-principles (PBE) data for an optimized crystal structure of SrSi2P, as listed in the Alexandria database.

a b c (Å): 4.921 4.921 4.921
angles (deg): 60.00 60.00 60.00
Element x y z (fractional)
P 0.500 0.500 0.500
Si 0.000 0.000 0.000
Si 0.750 0.750 0.750
Sr 0.250 0.250 0.250

Results
space-group type: No. 216
formation energy (no corrections): 331 meV per atom
size of the total moment: 0.000 Bohr magnetons per cell



5.
First-principles (PBE) data for an optimized crystal structure of K3Ce3TlS8, as listed in the Alexandria database.

a b c (Å): 8.336 8.336 8.759
angles (deg): 118.41 90.00 120.01
Element x y z (fractional)
K 0.000 0.000 0.000
K 0.000 0.500 0.000
K 0.500 0.500 0.000
Ce 0.500 0.000 0.500
Ce 0.500 0.500 0.500
Ce 0.000 0.500 0.500
Tl 0.000 0.000 0.500
S 0.265 0.530 0.295
S 0.735 0.470 0.705
S 0.756 0.511 0.300
S 0.244 0.489 0.700
S 0.755 0.044 0.300
S 0.245 0.956 0.700
S 0.289 0.044 0.300
S 0.711 0.956 0.700

Results
space-group type: No. 166
formation energy (no corrections): -1488 meV per atom
size of the total moment: 1.049 Bohr magnetons per cell



Density readings, ordered: 3.2 14.5 6.2 3.4 3.8 Mg/m³
V readings, ordered: 26.36 16.08 36.55 21.06 29.36 Å³ per atom